# 1
Zr4Rh after structural relaxation. Source: Alexandria via LeMat-Bulk, functional PBE-GGA.

## Properties
ΔH_f (0 K) = 0.463 eV per atom
ΔE to the lowest computed polymorph = 793 meV per atom
Volume = 22.81 Å³ per atom
Total moment = 0.00 μB per formula unit

Cell lengths 8.5192, 8.5192, 8.5192 Å; angles 154.55, 154.55, 36.30 degrees
With the nearest neighbours (Å) after each atom.
Fractional positions:
Zr  0.7500  0.2500  0.5000  4 Zr 2.65
Zr  0.4159  0.4159  0.0000  1 Zr 2.72, 4 Rh 2.98
Zr  0.2500  0.7500  0.5000  4 Zr 2.65
Zr  0.5841  0.5841  0.0000  1 Zr 2.72, 4 Rh 2.98
Rh  0.0000  0.0000  0.0000  8 Zr 2.98

---

# 2
Zr5Rh after structural relaxation. Source: Alexandria via LeMat-Bulk, functional PBE-GGA.

## Properties
ΔH_f (0 K) = 0.294 eV per atom
ΔE to the lowest computed polymorph = 558 meV per atom
Volume = 21.83 Å³ per atom
Total moment = 0.00 μB per formula unit

Cell lengths 5.7008, 5.7008, 5.7008 Å; angles 60.00, 60.00, 60.00 degrees
With the nearest neighbours (Å) after each atom.
Fractional positions:
Zr  0.7500  0.7500  0.7500  12 Zr 3.34, 4 Rh 3.49
Zr  0.3752  0.3752  0.3752  6 Zr 2.85
Zr  0.3752  0.3752  0.8745  6 Zr 2.85
Zr  0.8745  0.3752  0.3752  6 Zr 2.85
Zr  0.3752  0.8745  0.3752  6 Zr 2.85
Rh  0.0000  0.0000  0.0000  16 Zr 3.34-3.49

---

# 3
Zr5Rh after structural relaxation. Source: Alexandria via LeMat-Bulk, functional PBE-GGA.

## Properties
ΔH_f (0 K) = 0.644 eV per atom
ΔE to the lowest computed polymorph = 909 meV per atom
Volume = 23.31 Å³ per atom
Total moment = 0.00 μB per formula unit

Cell lengths 5.5790, 5.5790, 5.1878 Å; angles 90.00, 90.00, 120.00 degrees
With the nearest neighbours (Å) after each atom.
Fractional positions:
Zr  0.5000  0.0000  0.5000  8 Zr 2.79-3.05
Zr  0.5000  0.5000  0.5000  8 Zr 2.79-3.05
Zr  0.0000  0.5000  0.5000  8 Zr 2.79-3.05
Zr  0.3333  0.6667  0.0000  9 Zr 3.05-3.22, 3 Rh 3.22
Zr  0.6667  0.3333  0.0000  9 Zr 3.05-3.22, 3 Rh 3.22
Rh  0.0000  0.0000  0.0000  6 Zr 3.22

---

# 4
Zr3Rh4 after structural relaxation. Source: Alexandria via LeMat-Bulk, functional PBE-GGA.

## Properties
ΔH_f (0 K) = -0.811 eV per atom
ΔE to the lowest computed polymorph = 0 meV per atom
Volume = 17.41 Å³ per atom
Total moment = 0.00 μB per formula unit

Cell lengths 7.3254, 7.3254, 7.3254 Å; angles 113.72, 113.72, 113.72 degrees
With the nearest neighbours (Å) after each atom.
Fractional positions:
Rh  0.0000  0.0000  0.0000  8 Rh 2.81-3.11, 6 Zr 2.89
Rh  0.5000  0.5000  0.5000  6 Zr 2.75, 2 Rh 2.81
Rh  0.7426  0.5780  0.0403  6 Zr 2.70-2.90, 3 Rh 2.97-2.98
Rh  0.5780  0.0403  0.7426  6 Zr 2.70-2.90, 3 Rh 2.97-2.98
Rh  0.4220  0.9597  0.2574  6 Zr 2.70-2.90, 3 Rh 2.97-2.98
Rh  0.9597  0.2574  0.4220  6 Zr 2.70-2.90, 3 Rh 2.97-2.98
Rh  0.0403  0.7426  0.5780  6 Zr 2.70-2.90, 3 Rh 2.97-2.98
Rh  0.2574  0.4220  0.9597  6 Zr 2.70-2.90, 3 Rh 2.97-2.98
Zr  0.4914  0.2363  0.0982  8 Rh 2.70-2.90
Zr  0.0982  0.4914  0.2363  8 Rh 2.70-2.90
Zr  0.7637  0.9018  0.5086  8 Rh 2.70-2.90
Zr  0.5086  0.7637  0.9018  8 Rh 2.70-2.90
Zr  0.2363  0.0982  0.4914  8 Rh 2.70-2.90
Zr  0.9018  0.5086  0.7637  8 Rh 2.70-2.90

---

# 5
ZrRh4 after structural relaxation. Source: Alexandria via LeMat-Bulk, functional PBE-GGA.

## Properties
ΔH_f (0 K) = -0.145 eV per atom
ΔE to the lowest computed polymorph = 309 meV per atom
Volume = 16.82 Å³ per atom
Total moment = 0.00 μB per formula unit

Cell lengths 6.7918, 6.7918, 6.7918 Å; angles 148.74, 148.74, 44.79 degrees
With the nearest neighbours (Å) after each atom.
Fractional positions:
Rh  0.5994  0.5994  0.0000  5 Rh 2.50-2.63
Rh  0.4006  0.4006  0.0000  5 Rh 2.50-2.63
Rh  0.2500  0.7500  0.5000  8 Rh 2.59-2.63
Rh  0.7500  0.2500  0.5000  8 Rh 2.59-2.63
Zr  0.0000  0.0000  0.0000  8 Rh 2.87

---

# 6
Zr4Rh after structural relaxation. Source: Alexandria via LeMat-Bulk, functional PBE-GGA.

## Properties
ΔH_f (0 K) = -0.329 eV per atom
ΔE to the lowest computed polymorph = 0 meV per atom
Volume = 20.87 Å³ per atom
Total moment = 0.00 μB per formula unit

Cell lengths 7.8674, 7.8674, 5.8129 Å; angles 47.41, 47.41, 90.00 degrees
With the nearest neighbours (Å) after each atom.
Fractional positions:
Zr  0.2182  0.4128  0.0000  2 Rh 2.87, 6 Zr 3.11
Zr  0.5872  0.2182  0.0000  2 Rh 2.87, 6 Zr 3.11
Zr  0.7818  0.5872  0.0000  2 Rh 2.87, 6 Zr 3.11
Zr  0.4128  0.7818  0.0000  2 Rh 2.87, 6 Zr 3.11
Rh  0.0000  0.0000  0.0000  8 Zr 2.87

---

# 7
Zr3Rh5 after structural relaxation. Source: Alexandria via LeMat-Bulk, functional PBE-GGA.

## Properties
ΔH_f (0 K) = -0.804 eV per atom
Volume = 16.85 Å³ per atom
Total moment = 0.00 μB per formula unit

Cell lengths 5.6315, 5.6315, 8.7059 Å; angles 90.00, 90.00, 102.42 degrees
With the nearest neighbours (Å) after each atom.
Fractional positions:
Zr  0.7913  0.2087  0.5000  10 Rh 2.75-2.97
Zr  0.2087  0.7913  0.0000  10 Rh 2.75-2.97
Zr  0.5645  0.5645  0.7500  6 Rh 2.62-2.75
Zr  0.4355  0.4355  0.2500  6 Rh 2.62-2.75
Zr  0.7913  0.2087  0.0000  10 Rh 2.75-2.97
Zr  0.2087  0.7913  0.5000  10 Rh 2.75-2.97
Rh  0.0248  0.4939  0.7500  6 Zr 2.71-2.98, 4 Rh 2.82-2.84
Rh  0.9867  0.9867  0.7500  8 Rh 2.82-3.09, 5 Zr 2.85-2.98
Rh  0.0133  0.0133  0.2500  8 Rh 2.82-3.09, 5 Zr 2.85-2.98
Rh  0.2882  0.2882  0.9736  4 Zr 2.62-2.75, 3 Rh 2.84-2.88
Rh  0.5061  0.9752  0.2500  6 Zr 2.71-2.98, 4 Rh 2.82-2.84
Rh  0.7118  0.7118  0.4736  4 Zr 2.62-2.75, 3 Rh 2.84-2.88
Rh  0.9752  0.5061  0.2500  6 Zr 2.71-2.98, 4 Rh 2.82-2.84
Rh  0.7118  0.7118  0.0264  4 Zr 2.62-2.75, 3 Rh 2.84-2.88
Rh  0.4939  0.0248  0.7500  6 Zr 2.71-2.98, 4 Rh 2.82-2.84
Rh  0.2882  0.2882  0.5264  4 Zr 2.62-2.75, 3 Rh 2.84-2.88

---

# 8
Zr3Rh after structural relaxation. Source: Alexandria via LeMat-Bulk, functional PBE-GGA.

## Properties
ΔH_f (0 K) = -0.236 eV per atom
Volume = 20.29 Å³ per atom
Total moment = 0.00 μB per formula unit

Cell lengths 5.7629, 5.7629, 5.7629 Å; angles 139.13, 139.13, 59.18 degrees
With the nearest neighbours (Å) after each atom.
Fractional positions:
Rh  0.0000  0.0000  0.0000  4 Zr 2.85
Zr  0.7500  0.2500  0.5000  4 Zr 2.85
Zr  0.2500  0.7500  0.5000  4 Zr 2.85
Zr  0.5000  0.5000  0.0000  4 Rh 2.85